Below is RuWSe3 after structural relaxation, with properties calculated at the PBE level.

Cell and atoms, written as CIF:
```
data_RuWSe3
_chemical_formula_sum 'Ru1 W1 Se3'
_symmetry_space_group_name_H-M 'P m -3 m'
_symmetry_Int_Tables_number 221
_symmetry_space_group_name_Hall '-P 4 2 3'
_cell_length_a 4.916
_cell_length_b 4.916
_cell_length_c 4.916
_cell_angle_alpha 90.00
_cell_angle_beta 90.00
_cell_angle_gamma 90.00
loop_
_atom_site_label
_atom_site_type_symbol
_atom_site_fract_x
_atom_site_fract_y
_atom_site_fract_z
Ru1 Ru 0.000 0.000 0.000
W1 W 0.500 0.500 0.500
Se1 Se 0.000 0.500 0.500
```

Properties
- size of the total moment (μB/cell) = 3.1
- formation energy (no corrections) (eV per atom) = 1.01
- uncorrected energy (eV/atom) = -5.522
- theoretical density (Mg/m³) = 7.292